(1)
First-principles (GGA-PBEsol) data for a relaxed Hf2MnInCu crystal, as listed in Alexandria via LeMat-Bulk.

The density of states at the Fermi level comes out at 3.0 states/eV/f.u. The value obtained for the energy of formation is 0.499 eV/atom. For the energy, the calculation gives -35.59 eV/cell.

a b c (Å): 4.4708 4.7717 4.7717
angles (deg): 90.00 90.00 90.00
Closest atoms and distances in Å follow each position.
Atoms (fractional coordinates):
Cu1 0.0000 0.0000 0.0000  2 Mn 2.24, 4 Hf 2.39
Hf1 0.0000 0.0000 0.5000  2 Cu 2.39
Hf2 0.0000 0.5000 0.0000  2 Cu 2.39
In1 0.5000 0.5000 0.5000  8 Hf 3.27, 4 Mn 3.37
Mn1 0.5000 0.0000 0.0000  2 Cu 2.24

(2)
First-principles (GGA-PBEsol) data for a relaxed Co2RuBr crystal, as listed in Alexandria via LeMat-Bulk.

The density of states at the Fermi level comes out at 4.7 states/eV/f.u. The value obtained for the energy above the lowest structure with this stoichiometry is 0.89 eV per formula unit. For the energy, the calculation gives -24.41 eV/cell. For the formation energy without anion corrections, the calculation gives 3.1 eV/f.u.

a b c (Å): 2.8652 4.2905 4.9665
angles (deg): 115.59 106.77 90.00
Closest atoms and distances in Å follow each position.
Atoms (fractional coordinates):
Co1 0.2634 0.2634 0.5269  2 Br 2.47, 4 Co 2.59, 2 Ru 2.66
Co2 0.7366 0.7366 0.4731  2 Br 2.47, 4 Co 2.59, 2 Ru 2.66
Br1 0.0000 0.5000 0.0000  4 Co 2.47, 4 Ru 2.58
Ru1 0.5000 0.0000 0.0000  4 Br 2.58, 4 Co 2.66, 2 Ru 2.87